Entry 1:
A relaxed structure of NaZrCo2As. Source: Alexandria, functional GGA-PBE.

Structure (POSCAR):
```
NaZrCo2As
1.0
-3.050 2.545 -2.061
-2.086 -4.143 -2.028
-2.706 -0.372 3.544
Na Co Zr As
1 2 1 1
direct
0.500 0.500 0.500
0.500 0.000 0.000
0.000 0.000 0.500
0.000 0.500 0.000
0.000 0.000 0.000
```

Summary:
**VASP energy**: -5.25 eV/atom
**Formation enthalpy at 0 K**: 11.4 kcal/mol of atoms

Entry 2:
A relaxed structure of SiTe2Rh. Source: Alexandria, functional GGA-PBE.

Structure (POSCAR):
```
SiTe2Rh
1.0
6.137 0.045 0.000
3.529 5.021 0.000
-4.833 -2.533 2.809
Rh Te Si
1 2 1
direct
0.500 0.500 0.000
0.250 0.750 0.500
0.000 0.000 0.000
0.750 0.250 0.500
```

Summary:
**E_form (uncorrected)**: 0.4530 eV/atom
**VASP energy**: -4.31 eV/atom

Entry 3:
A relaxed structure of BaAc2Tl. Source: Alexandria, functional GGA-PBE.

Structure (POSCAR):
```
BaAc2Tl
1.0
4.176 0.000 0.000
0.000 4.176 0.000
0.000 0.000 10.201
Ba Ac Tl
1 2 1
direct
0.500 0.500 0.500
0.000 0.000 0.191
0.000 0.000 0.809
0.500 0.500 0.000
```

Summary:
**Polymorph energy (0 for the lowest one)**: 0 meV per atom
**VASP energy**: -3.23 eV/atom
**Formation enthalpy at 0 K**: -2.5 kcal/mol of atoms

Entry 4:
A relaxed structure of V3GePt. Source: Alexandria, functional GGA-PBE.

Structure (POSCAR):
```
V3GePt
1.0
-0.493 -4.468 1.367
4.113 -1.067 -2.005
2.217 0.987 4.023
V Pt Ge
3 1 1
direct
0.000 0.000 0.500
0.500 0.000 0.000
0.000 0.500 0.000
0.000 0.000 0.000
0.500 0.500 0.500
```

Summary:
**Polymorph energy (0 for the lowest one)**: 1099 meV per atom
**VASP energy**: -6.62 eV/atom
**Formation enthalpy at 0 K**: 22.6 kcal/mol of atoms

Entry 5:
A relaxed structure of ErScCu10. Source: Alexandria, functional GGA-PBE.

Structure (POSCAR):
```
ErScCu10
1.0
-2.785 -2.548 1.603
3.099 -3.813 -0.677
3.290 1.294 7.772
Cu Er Sc
10 1 1
direct
0.500 0.251 0.748
0.500 0.000 0.500
0.500 0.500 0.000
0.500 0.251 0.252
0.000 0.000 0.338
0.500 0.749 0.252
0.000 0.000 0.662
0.000 0.500 0.827
0.500 0.749 0.748
0.000 0.500 0.173
0.000 0.000 0.000
0.000 0.500 0.500
```

Summary:
**VASP energy**: -4.48 eV/atom
**Formation enthalpy at 0 K**: -3.7 kcal/mol of atoms

Entry 6:
A relaxed structure of DyZnInCo. Source: Alexandria, functional GGA-PBE.

Structure (POSCAR):
```
DyZnInCo
1.0
4.711 0.000 0.000
2.356 4.080 0.000
2.356 1.360 3.847
Dy In Co Zn
1 1 1 1
direct
0.250 0.250 0.250
0.750 0.750 0.750
0.500 0.500 0.500
0.000 0.000 0.000
```

Summary:
**VASP energy**: -4.09 eV/atom
**Formation enthalpy at 0 K**: -3.6 kcal/mol of atoms

Q: VASP energy of number 1 (NaZrCo2As)?
A: -5.25 eV/atom

Q: What is the formula in the second record?
A: SiTe2Rh

Q: Which value of VASP energy does entry 1 give?
A: -5.25 eV/atom